# Dy2LuSb (PBE, relaxed)
data_Dy2LuSb
_chemical_formula_sum 'Dy2 Lu1 Sb1'
_symmetry_space_group_name_H-M 'P 4/m m m'
_symmetry_Int_Tables_number 123
_symmetry_space_group_name_Hall '-P 4 2'
_cell_length_a 4.7409
_cell_length_b 4.7409
_cell_length_c 4.7679
_cell_angle_alpha 90.00
_cell_angle_beta 90.00
_cell_angle_gamma 90.00
loop_
_atom_site_label
_atom_site_type_symbol
_atom_site_fract_x
_atom_site_fract_y
_atom_site_fract_z
Dy1 Dy 0.0000 0.5000 0.0000
Lu1 Lu 0.0000 0.0000 0.5000
Sb1 Sb 0.5000 0.5000 0.5000
# ΔE to the lowest computed polymorph	42	meV/atom
# formation energy without anion corrections	-453	meV per atom



# La6Pm3Nd2Mg (PBE, relaxed)
data_La6Pm3Nd2Mg
_chemical_formula_sum 'La12 Pm6 Nd4 Mg2'
_symmetry_space_group_name_H-M 'C 1 2/m 1'
_symmetry_Int_Tables_number 12
_symmetry_space_group_name_Hall '-C 2y'
_cell_length_a 6.3606
_cell_length_b 11.0337
_cell_length_c 12.1033
_cell_angle_alpha 90.00
_cell_angle_beta 100.17
_cell_angle_gamma 90.00
loop_
_atom_site_label
_atom_site_type_symbol
_atom_site_fract_x
_atom_site_fract_y
_atom_site_fract_z
La1 La 0.2474 0.0000 0.2507
La2 La 0.2466 0.1646 0.7484
Pm1 Pm 0.0000 0.1671 0.0000
Pm2 Pm 0.0000 0.5000 0.0000
Nd1 Nd 0.0000 0.3329 0.5000
Mg1 Mg 0.0000 0.0000 0.5000
# E_form	10	meV per atom



Calculated values (μB/atom) of spin magnetization for the records, taken in order: 0.000 0.000.